Entry from Alexandria: an optimized crystal structure of Ta2AlW (PBE).

Cell lengths 3.558, 4.300, 4.424 Å; angles 90.00, 90.00, 90.00 degrees
Sites, in units of the cell vectors:
Ta: 0.000 0.000 0.000
Ta: 0.500 0.000 0.500
Al: 0.000 0.500 0.500
W: 0.500 0.500 0.000

Computed properties:
Raw total energy, eV/atom: -10.14
E_form, eV per atom: -0.0433
Calculated volume, Å³/cell: 67.7